Sr2MgTl4Hg2 after structural relaxation, computed with PBE.

Structure (POSCAR):
```
Sr2MgTl4Hg2
1.0
6.653 0.000 0.000
-3.024 5.971 0.000
-2.646 -2.434 6.747
Sr Mg Tl Hg
2 1 4 2
direct
0.073 0.268 0.339
0.927 0.732 0.661
0.500 0.000 0.500
0.031 0.309 0.847
0.464 0.184 0.153
0.536 0.816 0.847
0.969 0.691 0.153
0.472 0.300 0.769
0.528 0.700 0.231
```

Properties
ΔE_f: -2.37 eV per formula unit

=====

Li2Sn8Ir after structural relaxation, computed with PBE.

Structure (POSCAR):
```
Li2Sn8Ir
1.0
10.498 -2.177 0.000
10.498 2.177 0.000
-1.773 0.000 5.885
Li Sn Ir
2 8 1
direct
0.210 0.210 0.099
0.790 0.790 0.901
0.019 0.019 0.783
0.208 0.208 0.593
0.372 0.372 0.170
0.393 0.393 0.688
0.607 0.607 0.312
0.628 0.628 0.830
0.792 0.792 0.407
0.981 0.981 0.217
0.500 0.500 0.500
```

Properties
ΔE_f: -1.51 eV per formula unit

=====

LaTm5Ru6 after structural relaxation, computed with PBE.

Structure (POSCAR):
```
LaTm5Ru6
1.0
-2.394 3.383 7.158
2.394 -3.383 7.158
2.394 3.383 -7.158
La Tm Ru
1 5 6
direct
0.000 0.000 0.000
0.172 0.672 0.500
0.334 0.334 0.000
0.500 0.000 0.500
0.666 0.666 0.000
0.828 0.328 0.500
0.083 0.834 0.250
0.250 0.500 0.750
0.416 0.166 0.250
0.584 0.834 0.750
0.750 0.500 0.250
0.917 0.166 0.750
```

Properties
ΔE_f: -4.38 eV per formula unit

=====

Sm2DyTh3Bi6 after structural relaxation, computed with PBE.

Structure (POSCAR):
```
Sm2DyTh3Bi6
1.0
9.949 -2.285 0.000
9.949 2.285 0.000
-2.065 0.000 8.870
Sm Dy Th Bi
2 1 3 6
direct
0.167 0.167 0.333
0.833 0.833 0.667
0.500 0.500 0.000
0.168 0.168 0.834
0.500 0.500 0.500
0.832 0.832 0.166
0.000 0.000 0.244
0.000 0.000 0.756
0.333 0.333 0.419
0.336 0.336 0.916
0.664 0.664 0.084
0.667 0.667 0.581
```

Properties
ΔE_f: -8.85 eV per formula unit

=====

PrSb3 after structural relaxation, computed with PBE.

Structure (POSCAR):
```
PrSb3
1.0
4.843 0.000 0.000
0.000 4.843 0.000
0.000 0.000 4.843
Pr Sb
1 3
direct
0.000 0.000 0.000
0.000 0.500 0.500
0.500 0.000 0.500
0.500 0.500 0.000
```

=====

RuC3 after structural relaxation, computed with PBE.

Structure (POSCAR):
```
RuC3
1.0
4.161 0.000 0.000
0.000 4.161 0.000
0.000 0.000 4.161
Ru C
2 6
direct
0.000 0.000 0.000
0.500 0.500 0.500
0.000 0.000 0.500
0.000 0.500 0.000
0.000 0.500 0.500
0.500 0.000 0.000
0.500 0.000 0.500
0.500 0.500 0.000
```

Properties
ΔE_f: 9.70 eV per formula unit

=====

Mg5Bi2Sb after structural relaxation, computed with PBE.

Structure (POSCAR):
```
Mg5Bi2Sb
1.0
9.961 0.000 0.000
0.000 4.960 0.000
0.000 0.000 20.207
Mg Bi Sb
20 8 4
direct
0.092 0.250 0.167
0.124 0.250 0.996
0.125 0.250 0.502
0.125 0.250 0.677
0.157 0.250 0.331
0.343 0.750 0.831
0.375 0.750 0.002
0.375 0.750 0.177
0.376 0.750 0.496
0.408 0.750 0.667
0.592 0.250 0.333
0.624 0.250 0.504
0.625 0.250 0.823
0.625 0.250 0.998
0.657 0.250 0.169
0.843 0.750 0.669
0.875 0.750 0.323
0.875 0.750 0.498
0.876 0.750 0.004
0.908 0.750 0.833
0.125 0.750 0.249
0.125 0.750 0.589
0.375 0.250 0.089
0.375 0.250 0.749
0.625 0.750 0.251
0.625 0.750 0.911
0.875 0.250 0.411
0.875 0.250 0.751
0.127 0.750 0.925
0.373 0.250 0.425
0.627 0.750 0.575
0.873 0.250 0.075
```

=====

LiBe2CuMo after structural relaxation, computed with PBE.

Structure (POSCAR):
```
LiBe2CuMo
1.0
3.840 0.000 0.000
0.000 3.840 0.000
0.000 0.000 4.169
Li Be Cu Mo
1 2 1 1
direct
0.000 0.000 0.000
0.000 0.500 0.000
0.500 0.000 0.000
0.500 0.500 0.500
0.000 0.000 0.500
```

Properties
ΔE_f: 5.46 eV per formula unit

=====

Number 1: DFT total energy -17.40 eV per cell. Number 2: DFT total energy -46.22 eV per cell. Number 3: DFT total energy -87.32 eV per cell. Number 4: DFT total energy -68.43 eV per cell. Number 5: DFT total energy -19.05 eV per cell. Number 6: DFT total energy -54.49 eV per cell. Number 7: DFT total energy -85.16 eV per cell. Number 8: DFT total energy -18.84 eV per cell.